{
  "formula": "PrTeNO",
  "functional": "PBE",
  "state": "optimized geometry",
  "lattice": [[6.4696, 0.0000, 0.0000], [0.0000, 7.0023, 0.0000], [0.0000, 0.0000, 6.1915]],
  "species": ["Pr", "Pr", "Pr", "Pr", "Te", "Te", "Te", "Te", "N", "N", "N", "N", "O", "O", "O", "O"],
  "frac_coords": [[0.0858, 0.2465, 0.0000], [0.4142, 0.2465, 0.5000], [0.5858, 0.7535, 0.0000], [0.9142, 0.7535, 0.5000], [0.0630, 0.7302, 0.9866], [0.4370, 0.7302, 0.4866], [0.5630, 0.2698, 0.9866], [0.9370, 0.2698, 0.4866], [0.1152, 0.4533, 0.6545], [0.3848, 0.4533, 0.1545], [0.6152, 0.5467, 0.6545], [0.8848, 0.5467, 0.1545], [0.0956, 0.0526, 0.6493], [0.4044, 0.0526, 0.1493], [0.5956, 0.9474, 0.6493], [0.9044, 0.9474, 0.1493]],
  "sg": "Pca2_1 (29)",
  "e_above_lowest_polymorph_ev_per_atom": 0.3508,
  "vol_a3_per_atom": 17.5
}


{
  "formula": "YTc2B2",
  "functional": "PBE",
  "state": "optimized geometry",
  "lattice": [[-1.8426, 1.8426, 4.9037], [1.8426, -1.8426, 4.9037], [1.8426, 1.8426, -4.9037]],
  "species": ["Y", "Tc", "Tc", "B", "B"],
  "frac_coords": [[0.0000, 0.0000, 0.0000], [0.2500, 0.7500, 0.5000], [0.7500, 0.2500, 0.5000], [0.4018, 0.4018, 0.0000], [0.5982, 0.5982, 0.0000]],
  "sg": "I4/mmm (139)",
  "total_energy_ev_per_atom": -8.4198,
  "vol_a3_per_atom": 13.3
}


{
  "formula": "RbAlHgS3",
  "functional": "PBE",
  "state": "optimized geometry",
  "lattice": [[1.9177, -7.5053, 0.0000], [1.9177, 7.5053, 0.0000], [0.0000, 0.0000, 11.7782]],
  "species": ["Rb", "Rb", "Al", "Al", "Hg", "Hg", "S", "S", "S", "S", "S", "S"],
  "frac_coords": [[0.2467, 0.7533, 0.7500], [0.7533, 0.2467, 0.2500], [0.4809, 0.5191, 0.2500], [0.5191, 0.4809, 0.7500], [0.0000, 0.0000, 0.0000], [0.0000, 0.0000, 0.5000], [0.0706, 0.9294, 0.2500], [0.3966, 0.6034, 0.0909], [0.3966, 0.6034, 0.4091], [0.6034, 0.3966, 0.5909], [0.6034, 0.3966, 0.9091], [0.9294, 0.0706, 0.7500]],
  "sg": "Cmcm (63)",
  "total_energy_ev_per_atom": -3.7181,
  "vol_a3_per_atom": 28.3
}


> Which formula does entry 1 have?

PrTeNO


Copy entry 1 word for word.
{
  "formula": "PrTeNO",
  "functional": "PBE",
  "state": "optimized geometry",
  "lattice": [[6.4696, 0.0000, 0.0000], [0.0000, 7.0023, 0.0000], [0.0000, 0.0000, 6.1915]],
  "species": ["Pr", "Pr", "Pr", "Pr", "Te", "Te", "Te", "Te", "N", "N", "N", "N", "O", "O", "O", "O"],
  "frac_coords": [[0.0858, 0.2465, 0.0000], [0.4142, 0.2465, 0.5000], [0.5858, 0.7535, 0.0000], [0.9142, 0.7535, 0.5000], [0.0630, 0.7302, 0.9866], [0.4370, 0.7302, 0.4866], [0.5630, 0.2698, 0.9866], [0.9370, 0.2698, 0.4866], [0.1152, 0.4533, 0.6545], [0.3848, 0.4533, 0.1545], [0.6152, 0.5467, 0.6545], [0.8848, 0.5467, 0.1545], [0.0956, 0.0526, 0.6493], [0.4044, 0.0526, 0.1493], [0.5956, 0.9474, 0.6493], [0.9044, 0.9474, 0.1493]],
  "sg": "Pca2_1 (29)",
  "e_above_lowest_polymorph_ev_per_atom": 0.3508,
  "vol_a3_per_atom": 17.5
}


What did the first record say?
{
  "formula": "PrTeNO",
  "functional": "PBE",
  "state": "optimized geometry",
  "lattice": [[6.4696, 0.0000, 0.0000], [0.0000, 7.0023, 0.0000], [0.0000, 0.0000, 6.1915]],
  "species": ["Pr", "Pr", "Pr", "Pr", "Te", "Te", "Te", "Te", "N", "N", "N", "N", "O", "O", "O", "O"],
  "frac_coords": [[0.0858, 0.2465, 0.0000], [0.4142, 0.2465, 0.5000], [0.5858, 0.7535, 0.0000], [0.9142, 0.7535, 0.5000], [0.0630, 0.7302, 0.9866], [0.4370, 0.7302, 0.4866], [0.5630, 0.2698, 0.9866], [0.9370, 0.2698, 0.4866], [0.1152, 0.4533, 0.6545], [0.3848, 0.4533, 0.1545], [0.6152, 0.5467, 0.6545], [0.8848, 0.5467, 0.1545], [0.0956, 0.0526, 0.6493], [0.4044, 0.0526, 0.1493], [0.5956, 0.9474, 0.6493], [0.9044, 0.9474, 0.1493]],
  "sg": "Pca2_1 (29)",
  "e_above_lowest_polymorph_ev_per_atom": 0.3508,
  "vol_a3_per_atom": 17.5
}